First-principles (PBE-GGA) data for a relaxed structure of Cr3SiP, as listed in Alexandria.

Cell and atoms, written as POSCAR:
```
Cr3SiP
1.0
4.143 0.000 0.000
0.000 4.143 0.000
0.000 0.000 4.143
Cr Si P
3 1 1
Direct
0.000 0.500 0.000 Cr
0.000 0.000 0.500 Cr
0.500 0.000 0.000 Cr
0.500 0.500 0.500 Si
0.000 0.000 0.000 P
```

Computed properties:
Raw formation energy = 264 kJ/mol of formula units
Crystal system = cubic
Total magnetic moment = 0.0 μB per formula unit
DFT total energy = -7.394 eV per atom